(1)
Entry from the Alexandria database: IrWN2F after structural relaxation (PBE with a Hubbard U).

a = 4.0360 Å, b = 4.0360 Å, c = 3.9424 Å
α = 90.00°, β = 90.00°, γ = 90.00°
Positions (direct):
Ir1 0.0000 0.0000 0.0000
W1 0.5000 0.5000 0.5000
N1 0.0000 0.5000 0.5000
N2 0.5000 0.0000 0.5000
F1 0.5000 0.5000 0.0000

Properties
Uncorrected energy, eV per atom: -6.15

(2)
Entry from the Alexandria database: IrWN2F after structural relaxation (PBE with a Hubbard U).

a = 3.7438 Å, b = 3.7438 Å, c = 5.4252 Å
α = 90.00°, β = 90.00°, γ = 90.00°
Positions (direct):
Ir1 0.0000 0.0000 0.0000
W1 0.5000 0.5000 0.5000
N1 0.0000 0.5000 0.0000
N2 0.5000 0.0000 0.0000
F1 0.0000 0.0000 0.5000

Properties
Uncorrected energy, eV per atom: -5.71

Q: Which value of uncorrected energy does entry 1 give?
A: -6.15 eV per atom

Q: Which of these has the highest uncorrected energy?
A: number 2